CaLa5Zn6: relaxed, PBE.

Results
* theoretical density: 5909 kg/m³
* SG: P2/m

Unit cell a=5.2933 b=7.5229 c=8.3862 alpha=90.00 beta=71.52 gamma=90.00
Closest atoms and distances in Å follow each position.
Element x y z (fractional)
Zn: 0.5000 0.7498 0.0000  6 La 3.21-3.30, 2 Ca 3.25
Zn: 0.5000 0.2502 0.0000  6 La 3.21-3.30, 2 Ca 3.25
Zn: 0.8338 0.7536 0.3311  1 Ca 3.22, 7 La 3.23-3.29
Zn: 0.8337 0.2464 0.3311  1 Ca 3.22, 7 La 3.23-3.29
Zn: 0.1663 0.7536 0.6689  1 Ca 3.22, 7 La 3.23-3.29
Zn: 0.1662 0.2464 0.6689  1 Ca 3.22, 7 La 3.23-3.29
La: 0.3356 0.0000 0.3274  8 Zn 3.21-3.29
La: 0.6710 0.5000 0.6594  8 Zn 3.23-3.30
La: 0.0000 0.5000 0.0000  8 Zn 3.25
La: 0.6644 0.0000 0.6726  8 Zn 3.21-3.29
La: 0.3290 0.5000 0.3406  8 Zn 3.23-3.30
Ca: 0.0000 0.0000 0.0000  8 Zn 3.22-3.25


CaLa4Zn5: relaxed, PBE.

Results
* theoretical density: 5811 kg/m³
* SG: P4/mmm

Unit cell a=3.7560 b=3.7560 c=18.6907 alpha=90.00 beta=90.00 gamma=90.00
Closest atoms and distances in Å follow each position.
Element x y z (fractional)
La: 0.0000 0.0000 0.3986  8 Zn 3.24-3.26
La: 0.0000 0.0000 0.1986  8 Zn 3.24-3.26
La: 0.0000 0.0000 0.8014  8 Zn 3.24-3.26
La: 0.0000 0.0000 0.6014  8 Zn 3.24-3.26
Zn: 0.5000 0.5000 0.2995  8 La 3.24-3.26
Zn: 0.5000 0.5000 0.0992  4 Ca 3.24, 4 La 3.24
Zn: 0.5000 0.5000 0.9008  4 Ca 3.24, 4 La 3.24
Zn: 0.5000 0.5000 0.5000  8 La 3.26
Zn: 0.5000 0.5000 0.7005  8 La 3.24-3.26
Ca: 0.0000 0.0000 0.0000  8 Zn 3.24


no.,size of the total moment (μB/atom),DOS at the Fermi energy (states/eV/f.u.),electronic total energy (eV per cell)
1,0.000,13.0,-37.92
2,0.000,10.2,-31.09